# 1
Computed, not measured: CaErCdGa after structural relaxation at the GGA-PBE level of DFT.

a b c (Å): 7.3567 7.3567 7.3567
angles (deg): 90.00 90.00 90.00
Element x y z (fractional)
Ca: 0.0000 0.0000 0.0000
Ca: 0.0000 0.5000 0.5000
Ca: 0.5000 0.0000 0.5000
Ca: 0.5000 0.5000 0.0000
Er: 0.0000 0.0000 0.5000
Er: 0.0000 0.5000 0.0000
Er: 0.5000 0.0000 0.0000
Er: 0.5000 0.5000 0.5000
Cd: 0.2500 0.2500 0.7500
Cd: 0.2500 0.7500 0.2500
Cd: 0.7500 0.2500 0.2500
Cd: 0.7500 0.7500 0.7500
Ga: 0.2500 0.2500 0.2500
Ga: 0.2500 0.7500 0.7500
Ga: 0.7500 0.2500 0.7500
Ga: 0.7500 0.7500 0.2500

Magnetic moment   0.00 μB/cell
Symmetry   No. 216
Energy of formation   -0.414 eV per atom

# 2
Computed, not measured: ReAs2WSe after structural relaxation at the GGA-PBE level of DFT.

a b c (Å): 4.6948 4.6948 5.1718
angles (deg): 90.00 90.00 90.00
Element x y z (fractional)
Re: 0.0000 0.0000 0.0000
As: 0.0000 0.5000 0.0000
As: 0.5000 0.0000 0.0000
W: 0.5000 0.5000 0.5000
Se: 0.0000 0.0000 0.5000

Magnetic moment   3.67 μB/cell
E_form (uncorrected)   1.45 eV/atom
Symmetry   No. 123

# 3
Computed, not measured: Tb3CdS6 after structural relaxation at the GGA-PBE level of DFT.

a b c (Å): 8.4237 8.4237 6.7764
angles (deg): 90.00 90.00 100.65
Element x y z (fractional)
Tb: 0.0989 0.9011 0.5000
Tb: 0.2192 0.4172 0.4092
Tb: 0.4172 0.2192 0.9092
Tb: 0.5828 0.7808 0.4092
Tb: 0.7808 0.5828 0.9092
Tb: 0.9011 0.0989 0.0000
Cd: 0.2976 0.7024 0.8896
Cd: 0.7024 0.2976 0.3896
S: 0.0494 0.5943 0.6759
S: 0.1294 0.1964 0.7064
S: 0.1964 0.1294 0.2064
S: 0.2739 0.7261 0.2537
S: 0.4057 0.9506 0.6759
S: 0.4708 0.5292 0.6993
S: 0.5292 0.4708 0.1993
S: 0.5943 0.0494 0.1759
S: 0.7261 0.2739 0.7537
S: 0.8036 0.8706 0.7064
S: 0.8706 0.8036 0.2064
S: 0.9506 0.4057 0.1759

Magnetic moment   0.00 μB/cell
E_form (uncorrected)   -1.58 eV/atom
Symmetry   No. 36

# 4
Computed, not measured: LiTa2Pb after structural relaxation at the GGA-PBE level of DFT.

a b c (Å): 3.0110 3.0110 30.9137
angles (deg): 90.00 90.00 120.00
Element x y z (fractional)
Li: 0.0000 0.0000 0.0000
Li: 0.3333 0.6667 0.6667
Li: 0.6667 0.3333 0.3333
Ta: 0.0000 0.0000 0.2503
Ta: 0.0000 0.0000 0.7497
Ta: 0.3333 0.6667 0.4164
Ta: 0.3333 0.6667 0.9170
Ta: 0.6667 0.3333 0.0830
Ta: 0.6667 0.3333 0.5836
Pb: 0.0000 0.0000 0.5000
Pb: 0.3333 0.6667 0.1667
Pb: 0.6667 0.3333 0.8333

Magnetic moment   0.00 μB/cell
Symmetry   No. 166
Energy of formation   0.670 eV per atom

# 5
Computed, not measured: Rb2PbAu2 after structural relaxation at the GGA-PBE level of DFT.

a b c (Å): 6.8380 6.8380 8.4706
angles (deg): 98.78 98.78 62.94
Element x y z (fractional)
Rb: 0.0198 0.2726 0.1343
Rb: 0.2726 0.0198 0.6343
Rb: 0.7274 0.9802 0.3657
Rb: 0.9802 0.7274 0.8657
Pb: 0.4146 0.5854 0.2500
Pb: 0.5854 0.4146 0.7500
Au: 0.2077 0.5081 0.5032
Au: 0.4919 0.7923 0.9968
Au: 0.5081 0.2077 0.0032
Au: 0.7923 0.4919 0.4968

Magnetic moment   0.00 μB/cell
Symmetry   No. 15
Energy of formation   -0.261 eV per atom

# 6
Computed, not measured: YScAlRu2 after structural relaxation at the GGA-PBE level of DFT.

a b c (Å): 4.5984 4.5984 4.9659
angles (deg): 90.00 90.00 90.00
Element x y z (fractional)
Y: 0.0000 0.0000 0.0000
Sc: 0.5000 0.5000 0.0000
Al: 0.0000 0.0000 0.5000
Ru: 0.0000 0.5000 0.5000
Ru: 0.5000 0.0000 0.5000

Magnetic moment   0.00 μB/cell
Symmetry   No. 123
Energy of formation   0.519 eV per atom